# 1
# Ac2PrTe2S2

A relaxed Ac2PrTe2S2 crystal (PBE, Alexandria via LeMat-Bulk).

The space group is I4/mmm (No. 139) and the conventional cell measures 5.2995, 5.2995 and 16.8031 Å, with angles of 90.00, 90.00 and 90.00 degrees. The asymmetric unit holds Ac at (0.0000, 0.0000, 0.1192), Pr at (0.0000, 0.0000, 0.5000), Te at (0.0000, 0.0000, 0.3145) and S at (0.0000, 0.5000, 0.0000).

# 2
# AcPrTh2S4

A relaxed AcPrTh2S4 crystal (PBE, Alexandria via LeMat-Bulk).

The space group is P2/m (No. 10) and the conventional cell measures 7.1019, 4.1264 and 7.1626 Å, with angles of 90.00, 109.37 and 90.00 degrees. The asymmetric unit holds Ac at (0.0000, 0.0000, 0.0000), Pr at (0.5000, 0.5000, 0.0000), Th at (0.0000, 0.5000, 0.5000), Th at (0.5000, 0.0000, 0.5000), S at (0.2526, 0.0000, 0.7417) and S at (0.2594, 0.5000, 0.2619).

# 3
# Ac4Pr3ThS8

A relaxed Ac4Pr3ThS8 crystal (PBE, Alexandria via LeMat-Bulk).

The space group is R-3m (No. 166, hexagonal axes) and the conventional cell measures 8.3762, 8.3762 and 20.6215 Å, with angles of 90.00, 90.00 and 120.00 degrees. The asymmetric unit holds Ac at (0.0000, 0.0000, 0.0000), Ac at (0.0000, 0.5000, 0.0000), Pr at (0.0000, 0.5000, 0.5000), Th at (0.0000, 0.0000, 0.5000), S at (0.0000, 0.0000, 0.2460) and S at (0.0034, 0.5017, 0.2450).

# 4
# Ac2PrTl3S6

A relaxed Ac2PrTl3S6 crystal (PBE, Alexandria via LeMat-Bulk).

The space group is C2/m (No. 12) and the conventional cell measures 7.5591, 13.0854 and 7.8660 Å, with angles of 90.00, 108.67 and 90.00 degrees. The asymmetric unit holds Ac at (0.0000, 0.1669, 0.0000), Pr at (0.0000, 0.5000, 0.0000), Tl at (0.0000, 0.0000, 0.5000), Tl at (0.0000, 0.3348, 0.5000), S at (0.2312, 0.3383, 0.2081) and S at (0.2464, 0.0000, 0.2104).

# 5
# AcPrTl2S4

A relaxed AcPrTl2S4 crystal (PBE, Alexandria via LeMat-Bulk).

The space group is P2/m (No. 10) and the conventional cell measures 7.4978, 4.3252 and 7.8671 Å, with angles of 90.00, 108.46 and 90.00 degrees. The asymmetric unit holds Ac at (0.0000, 0.0000, 0.0000), Pr at (0.5000, 0.5000, 0.0000), Tl at (0.0000, 0.5000, 0.5000), Tl at (0.5000, 0.0000, 0.5000), S at (0.2455, 0.5000, 0.2096) and S at (0.2728, 0.0000, 0.7935).

# 6
# AcPr2TmS6

A relaxed AcPr2TmS6 crystal (PBE, Alexandria via LeMat-Bulk).

The space group is R3 (No. 146, hexagonal axes) and the conventional cell measures 7.2325, 7.2325 and 18.9956 Å, with angles of 90.00, 90.00 and 120.00 degrees. The asymmetric unit holds Ac at (0.0000, 0.0000, 0.0000), Pr at (0.0000, 0.0000, 0.2828), Pr at (0.0000, 0.0000, 0.7899), Tm at (0.0000, 0.0000, 0.4893), S at (0.0162, 0.7258, 0.3928) and S at (0.0367, 0.3496, 0.5570).

Calculated values (eV/atom) of uncorrected formation energy for the records, taken in order: -1.577, -1.901, -1.980, -1.480, -1.467, -2.034.